No. 1
# TaNbP2Cl | Alexandria | PBE-GGA | optimized geometry
# Energy relative to the elements, uncorrected in eV/atom: 0.554
# Polymorph energy (0 for the lowest one) in meV/atom: 0.0
# Fermi-level density of states in states/eV/cell: 5.267
# Magnetization in Bohr magnetons per cell: 2.94
data_TaNbP2Cl
_cell_length_a 4.8610
_cell_length_b 4.8610
_cell_length_c 4.6468
_cell_angle_alpha 90.00
_cell_angle_beta 90.00
_cell_angle_gamma 90.00
_symmetry_space_group_name_H-M 'P 4/m m m'
_symmetry_Int_Tables_number 123
_symmetry_space_group_name_Hall '-P 4 2'
loop_
_atom_site_label
_atom_site_type_symbol
_atom_site_fract_x
_atom_site_fract_y
_atom_site_fract_z
Ta1 Ta 0.0000 0.0000 0.0000
Nb1 Nb 0.5000 0.5000 0.5000
P1 P 0.0000 0.5000 0.0000
Cl1 Cl 0.0000 0.0000 0.5000

---

No. 2
# TiTe2Pt | Alexandria | PBE-GGA | optimized geometry
# Energy relative to the elements, uncorrected in eV/atom: -0.071
# Polymorph energy (0 for the lowest one) in meV/atom: 575.4
# Fermi-level density of states in states/eV/cell: 17.219
# Magnetization in Bohr magnetons per cell: 0.00
data_TiTe2Pt
_cell_length_a 6.9099
_cell_length_b 6.9099
_cell_length_c 6.9099
_cell_angle_alpha 90.00
_cell_angle_beta 90.00
_cell_angle_gamma 90.00
_symmetry_space_group_name_H-M 'F m -3 m'
_symmetry_Int_Tables_number 225
_symmetry_space_group_name_Hall '-F 4 2 3'
loop_
_atom_site_label
_atom_site_type_symbol
_atom_site_fract_x
_atom_site_fract_y
_atom_site_fract_z
Ti1 Ti 0.0000 0.0000 0.0000
Te1 Te 0.2500 0.2500 0.2500
Pt1 Pt 0.0000 0.0000 0.5000

---

No. 3
# SbH3Ir | Alexandria | PBE-GGA | optimized geometry
# Polymorph energy (0 for the lowest one) in meV/atom: 0.0
# Fermi-level density of states in states/eV/cell: 0.934
# Magnetization in Bohr magnetons per cell: 0.00
data_SbH3Ir
_cell_length_a 3.6988
_cell_length_b 3.6988
_cell_length_c 3.6988
_cell_angle_alpha 90.00
_cell_angle_beta 90.00
_cell_angle_gamma 90.00
_symmetry_space_group_name_H-M 'P m -3 m'
_symmetry_Int_Tables_number 221
_symmetry_space_group_name_Hall '-P 4 2 3'
loop_
_atom_site_label
_atom_site_type_symbol
_atom_site_fract_x
_atom_site_fract_y
_atom_site_fract_z
Sb1 Sb 0.0000 0.0000 0.0000
H1 H 0.0000 0.5000 0.5000
Ir1 Ir 0.5000 0.5000 0.5000

---

No. 4
# KReAsC2 | Alexandria | PBE-GGA | optimized geometry
# Fermi-level density of states in states/eV/cell: 6.628
# ΔE_f in kJ per mole of atoms: 410.5
# Magnetization in Bohr magnetons per cell: 0.00
data_KReAsC2
_cell_length_a 4.2358
_cell_length_b 4.2358
_cell_length_c 4.9783
_cell_angle_alpha 90.00
_cell_angle_beta 90.00
_cell_angle_gamma 90.00
_symmetry_space_group_name_H-M 'P 4/m m m'
_symmetry_Int_Tables_number 123
_symmetry_space_group_name_Hall '-P 4 2'
loop_
_atom_site_label
_atom_site_type_symbol
_atom_site_fract_x
_atom_site_fract_y
_atom_site_fract_z
K1 K 0.0000 0.0000 0.0000
Re1 Re 0.0000 0.0000 0.5000
As1 As 0.5000 0.5000 0.5000
C1 C 0.0000 0.5000 0.0000

---

No. 5
# NiOsRh2 | Alexandria | PBE-GGA | optimized geometry
# Polymorph energy (0 for the lowest one) in meV/atom: 284.3
# Fermi-level density of states in states/eV/cell: 14.891
# ΔE_f in kJ per mole of atoms: 31.0
# Magnetization in Bohr magnetons per cell: 0.38
data_NiOsRh2
_cell_length_a 2.6980
_cell_length_b 4.5643
_cell_length_c 9.0304
_cell_angle_alpha 90.00
_cell_angle_beta 90.00
_cell_angle_gamma 90.00
_symmetry_space_group_name_H-M 'C m m 2'
_symmetry_Int_Tables_number 35
_symmetry_space_group_name_Hall 'C 2 -2'
loop_
_atom_site_label
_atom_site_type_symbol
_atom_site_fract_x
_atom_site_fract_y
_atom_site_fract_z
Ni1 Ni 0.0000 0.0000 0.0000
Os1 Os 0.0000 0.5000 0.2387
Rh1 Rh 0.0000 0.0000 0.4974
Rh2 Rh 0.0000 0.5000 0.7582

---

No. 6
# Pr3MoS6 | Alexandria | PBE-GGA | optimized geometry
# Energy relative to the elements, uncorrected in eV/atom: -1.513
# Fermi-level density of states in states/eV/cell: 9.487
# Magnetization in Bohr magnetons per cell: 11.46
data_Pr3MoS6
_cell_length_a 11.0497
_cell_length_b 13.6789
_cell_length_c 6.8076
_cell_angle_alpha 90.00
_cell_angle_beta 90.00
_cell_angle_gamma 90.00
_symmetry_space_group_name_H-M 'C m c 21'
_symmetry_Int_Tables_number 36
_symmetry_space_group_name_Hall 'C 2c -2'
loop_
_atom_site_label
_atom_site_type_symbol
_atom_site_fract_x
_atom_site_fract_y
_atom_site_fract_z
Pr1 Pr 0.0000 0.1002 0.0000
Pr2 Pr 0.1827 0.4012 0.9202
Mo1 Mo 0.0000 0.3076 0.3776
S1 S 0.0000 0.2802 0.7194
S2 S 0.0000 0.4655 0.2282
S3 S 0.1615 0.0254 0.7097
S4 S 0.1623 0.2387 0.2040